No. 1
DFT (GGA-PBE) results for a relaxed structure of Li4Mg3Tl4.

Unit cell a=4.458 b=8.502 c=13.551 alpha=90.00 beta=90.00 gamma=90.00
Space group Immm (No. 71)
Symmetry-distinct sites (fractional):
Li1 0.000 0.177 0.186 [8 per cell]
Mg1 0.000 0.000 0.385 [4 per cell]
Mg2 0.000 0.500 0.500 [2 per cell]
Tl1 0.000 0.300 0.000 [4 per cell]
Tl2 0.000 0.500 0.258 [4 per cell]



No. 2
DFT (GGA-PBE) results for a relaxed structure of LiMg2Tl.

Unit cell a=4.989 b=5.522 c=6.241 alpha=90.00 beta=90.00 gamma=90.00
Space group Pmn2_1 (No. 31)
Symmetry-distinct sites (fractional):
Li1 0.000 0.168 0.000 [2 per cell]
Mg1 0.000 0.151 0.504 [2 per cell]
Mg2 0.000 0.650 0.751 [2 per cell]
Tl1 0.000 0.676 0.251 [2 per cell]



Looking at energy relative to the elements for the records above, in order, we have -0.062, -0.128 eV/atom.
Looking at energy above the lowest structure with this stoichiometry for the records above, in order, we have 0.085, 0.002 eV per atom.